1.
## Te5As3 (GGA-PBE)

Data for a relaxed Te5As3 crystal.

Lattice parameters (Å, degrees): 8.073 14.814 4.038 90.00 90.00 90.00
Space group Cmmm (No. 65)
One atom of each set of equivalent atoms:
Te1 0.000 0.000 0.000 x2
Te2 0.234 0.500 0.500 x4
Te3 0.250 0.250 0.000 x4
As1 0.000 0.305 0.500 x4
As2 0.000 0.500 0.000 x2

For the final energy, the calculation gives -53.896 eV per cell. The energy relative to the lowest polymorph listed for this composition comes out at 16.91 kJ/mol of atoms.

2.
## TeAs3 (GGA-PBE)

Data for a relaxed TeAs3 crystal.

Lattice parameters (Å, degrees): 7.581 17.589 3.647 90.00 90.00 90.00
Space group Cmcm (No. 63)
One atom of each set of equivalent atoms:
Te1 0.000 0.111 0.250 x4
As1 0.000 0.377 0.250 x4
As2 0.200 0.309 0.750 x8

For the final energy, the calculation gives -64.716 eV per cell. The energy relative to the lowest polymorph listed for this composition comes out at 12.71 kJ/mol of atoms.

Repeat the second record exactly.
## TeAs3 (GGA-PBE)

Data for a relaxed TeAs3 crystal.

Lattice parameters (Å, degrees): 7.581 17.589 3.647 90.00 90.00 90.00
Space group Cmcm (No. 63)
One atom of each set of equivalent atoms:
Te1 0.000 0.111 0.250 x4
As1 0.000 0.377 0.250 x4
As2 0.200 0.309 0.750 x8

For the final energy, the calculation gives -64.716 eV per cell. The energy relative to the lowest polymorph listed for this composition comes out at 12.71 kJ/mol of atoms.